VASP calculation (PBE) on crystalline CeScAlRu at its relaxed geometry.

POSCAR file:
```
CeScAlRu
1.0
-3.596 1.828 -2.697
-4.394 0.667 1.946
-1.622 4.494 0.844
Sc Ru Al Ce
1 1 1 1
direct
0.250 0.250 0.250 Sc
0.000 0.000 0.000 Ru
0.500 0.500 0.500 Al
0.750 0.750 0.750 Ce
```

Computed properties:
Symmetry ... F-43m
Raw total energy ... -6.645 eV per atom

---

VASP calculation (PBE) on crystalline CeAlSiRu at its relaxed geometry.

POSCAR file:
```
CeAlSiRu
1.0
4.160 0.000 0.000
2.080 3.603 0.000
2.080 1.201 5.140
Ce Al Si Ru
1 1 1 1
direct
0.802 0.802 0.594 Ce
0.595 0.595 0.214 Al
0.012 0.012 0.963 Si
0.316 0.316 0.052 Ru
```

Computed properties:
Symmetry ... R3m
Raw total energy ... -6.690 eV per atom

---

VASP calculation (PBE) on crystalline Ce2Al2Si4Ru at its relaxed geometry.

POSCAR file:
```
Ce2Al2Si4Ru
1.0
-0.715 -3.465 -4.956
-1.549 -2.169 5.475
-3.607 4.826 0.881
Ce Al Si Ru
2 2 4 1
direct
0.500 0.750 0.250 Ce
0.500 0.250 0.750 Ce
0.000 0.712 0.712 Al
0.000 0.288 0.288 Al
0.000 0.717 0.283 Si
0.434 0.717 0.717 Si
0.000 0.283 0.717 Si
0.566 0.283 0.283 Si
0.000 0.000 0.000 Ru
```

Computed properties:
Symmetry ... I4/mmm
Raw total energy ... -6.194 eV per atom

---

VASP calculation (PBE) on crystalline Ce2TaAl2Ru5 at its relaxed geometry.

POSCAR file:
```
Ce2TaAl2Ru5
1.0
-3.111 -0.767 0.678
0.461 -7.771 -6.670
3.170 -6.241 7.490
Ce Ta Al Ru
4 2 4 10
direct
0.000 0.673 0.173 Ce
0.000 0.327 0.827 Ce
0.000 0.173 0.327 Ce
0.000 0.827 0.673 Ce
0.000 0.000 0.000 Ta
0.000 0.500 0.500 Ta
0.000 0.126 0.626 Al
0.000 0.874 0.374 Al
0.000 0.626 0.874 Al
0.000 0.374 0.126 Al
0.500 0.202 0.066 Ru
0.500 0.798 0.934 Ru
0.500 0.066 0.798 Ru
0.500 0.702 0.434 Ru
0.500 0.934 0.202 Ru
0.500 0.298 0.566 Ru
0.500 0.566 0.702 Ru
0.500 0.434 0.298 Ru
0.500 0.500 0.000 Ru
0.500 0.000 0.500 Ru
```

Computed properties:
Symmetry ... P4/mbm
Raw total energy ... -8.208 eV per atom

---

VASP calculation (PBE) on crystalline CeAlTcRu at its relaxed geometry.

POSCAR file:
```
CeAlTcRu
1.0
-0.832 -4.508 0.089
0.167 -2.439 -3.879
3.419 -2.976 -0.692
Ru Tc Ce Al
1 1 1 1
direct
0.500 0.500 0.500 Ru
0.000 0.000 0.000 Tc
0.750 0.750 0.750 Ce
0.250 0.250 0.250 Al
```

Computed properties:
Symmetry ... F-43m
Raw total energy ... -7.632 eV per atom

---

VASP calculation (PBE) on crystalline CeTh2Al2Ru5 at its relaxed geometry.

POSCAR file:
```
CeTh2Al2Ru5
1.0
-2.270 2.675 -0.219
-6.731 -6.108 -4.859
-4.078 -2.718 9.067
Ce Th Al Ru
2 4 4 10
direct
0.000 0.000 0.000 Ce
0.000 0.500 0.500 Ce
0.000 0.672 0.172 Th
0.000 0.328 0.828 Th
0.000 0.172 0.328 Th
0.000 0.828 0.672 Th
0.000 0.123 0.623 Al
0.000 0.877 0.377 Al
0.000 0.623 0.877 Al
0.000 0.377 0.123 Al
0.500 0.209 0.073 Ru
0.500 0.791 0.927 Ru
0.500 0.073 0.791 Ru
0.500 0.709 0.427 Ru
0.500 0.927 0.209 Ru
0.500 0.291 0.573 Ru
0.500 0.573 0.709 Ru
0.500 0.427 0.291 Ru
0.500 0.500 0.000 Ru
0.500 0.000 0.500 Ru
```

Computed properties:
Symmetry ... P4/mbm
Raw total energy ... -7.954 eV per atom

---

VASP calculation (PBE) on crystalline CeTmAlRu at its relaxed geometry.

POSCAR file:
```
CeTmAlRu
1.0
-3.965 2.665 -1.324
-1.050 0.665 -4.799
-3.936 -2.245 -2.010
Ru Tm Al Ce
1 1 1 1
direct
0.750 0.750 0.750 Ru
0.000 0.000 0.000 Tm
0.250 0.250 0.250 Al
0.500 0.500 0.500 Ce
```

Computed properties:
Symmetry ... F-43m
Raw total energy ... -6.162 eV per atom

---

VASP calculation (PBE) on crystalline Ce2Al2VRu5 at its relaxed geometry.

POSCAR file:
```
Ce2Al2VRu5
1.0
3.203 0.000 0.000
0.000 10.201 0.000
0.000 0.000 10.201
Ce Al V Ru
4 4 2 10
direct
0.000 0.672 0.172 Ce
0.000 0.328 0.828 Ce
0.000 0.172 0.328 Ce
0.000 0.828 0.672 Ce
0.000 0.128 0.628 Al
0.000 0.872 0.372 Al
0.000 0.628 0.872 Al
0.000 0.372 0.128 Al
0.000 0.000 0.000 V
0.000 0.500 0.500 V
0.500 0.197 0.062 Ru
0.500 0.803 0.938 Ru
0.500 0.062 0.803 Ru
0.500 0.697 0.438 Ru
0.500 0.938 0.197 Ru
0.500 0.303 0.562 Ru
0.500 0.562 0.697 Ru
0.500 0.438 0.303 Ru
0.500 0.500 0.000 Ru
0.500 0.000 0.500 Ru
```

Computed properties:
Symmetry ... P4/mbm
Raw total energy ... -7.846 eV per atom

---

VASP calculation (PBE) on crystalline CeYAlRu at its relaxed geometry.

POSCAR file:
```
CeYAlRu
1.0
4.999 0.000 0.000
2.500 4.329 0.000
2.500 1.443 4.082
Y Ru Al Ce
1 1 1 1
direct
0.000 0.000 0.000 Y
0.750 0.750 0.750 Ru
0.250 0.250 0.250 Al
0.500 0.500 0.500 Ce
```

Computed properties:
Symmetry ... F-43m
Raw total energy ... -6.628 eV per atom

---

VASP calculation (PBE) on crystalline Ce6Al3S14 at its relaxed geometry.

POSCAR file:
```
Ce6Al3S14
1.0
-5.402 1.702 -1.798
-1.998 -9.383 -2.880
-2.174 2.948 9.322
Ce Al S
6 3 14
direct
0.256 0.804 0.101 Ce
0.256 0.899 0.703 Ce
0.256 0.297 0.196 Ce
0.752 0.528 0.562 Ce
0.752 0.438 0.965 Ce
0.752 0.035 0.472 Ce
0.835 0.000 0.000 Al
0.337 0.333 0.667 Al
0.469 0.667 0.333 Al
0.985 0.086 0.236 S
0.985 0.764 0.849 S
0.985 0.151 0.914 S
0.488 0.244 0.430 S
0.488 0.570 0.814 S
0.488 0.186 0.756 S
0.462 0.000 0.000 S
0.964 0.333 0.667 S
0.701 0.757 0.190 S
0.701 0.810 0.567 S
0.701 0.433 0.243 S
0.244 0.579 0.482 S
0.244 0.518 0.097 S
0.244 0.903 0.421 S
```

Computed properties:
Symmetry ... P3
Raw total energy ... -6.248 eV per atom

---

VASP calculation (PBE) on crystalline CeAl2S4 at its relaxed geometry.

POSCAR file:
```
CeAl2S4
1.0
6.025 -0.186 0.000
-3.064 5.191 0.000
-1.481 -2.503 5.280
Ce Al S
1 2 4
direct
0.500 0.500 0.000 Ce
0.250 0.750 0.500 Al
0.750 0.250 0.500 Al
0.316 0.144 0.460 S
0.856 0.316 0.172 S
0.144 0.684 0.828 S
0.684 0.856 0.540 S
```

Computed properties:
Symmetry ... I4/m
Raw total energy ... -5.387 eV per atom

---

VASP calculation (PBE) on crystalline Ce3AlS7 at its relaxed geometry.

POSCAR file:
```
Ce3AlS7
1.0
-5.085 4.801 3.505
-2.090 -0.959 -7.477
-5.022 -7.000 2.301
Ce Al S
6 2 14
direct
0.500 0.500 0.500 Ce
0.500 0.500 0.000 Ce
0.547 0.000 0.250 Ce
0.453 0.000 0.750 Ce
0.000 0.547 0.750 Ce
0.000 0.453 0.250 Ce
0.000 0.000 0.500 Al
0.000 0.000 0.000 Al
0.671 0.916 0.532 S
0.329 0.084 0.032 S
0.916 0.671 0.468 S
0.084 0.329 0.968 S
0.084 0.329 0.532 S
0.916 0.671 0.032 S
0.329 0.084 0.468 S
0.671 0.916 0.968 S
0.367 0.633 0.250 S
0.633 0.367 0.750 S
0.636 0.364 0.250 S
0.364 0.636 0.750 S
0.931 0.069 0.250 S
0.069 0.931 0.750 S
```

Computed properties:
Symmetry ... Cmcm
Raw total energy ... -6.219 eV per atom

---

VASP calculation (PBE) on crystalline Ce2AlS6 at its relaxed geometry.

POSCAR file:
```
Ce2AlS6
1.0
-2.083 0.318 5.728
-5.148 -2.794 -1.717
4.992 -10.676 2.408
Ce Al S
4 2 12
direct
0.000 0.000 0.330 Ce
0.500 0.500 0.830 Ce
0.500 0.500 0.170 Ce
0.000 0.000 0.670 Ce
0.000 0.000 0.000 Al
0.500 0.500 0.500 Al
0.312 0.312 0.354 S
0.688 0.688 0.354 S
0.188 0.812 0.854 S
0.812 0.188 0.854 S
0.188 0.812 0.146 S
0.812 0.188 0.146 S
0.312 0.312 0.646 S
0.688 0.688 0.646 S
0.288 0.288 0.000 S
0.712 0.712 0.000 S
0.212 0.788 0.500 S
0.788 0.212 0.500 S
```

Computed properties:
Symmetry ... P4_2/mnm
Raw total energy ... -5.711 eV per atom

---

VASP calculation (PBE) on crystalline Ce2AlS at its relaxed geometry.

POSCAR file:
```
Ce2AlS
1.0
-0.627 0.092 -3.837
-3.637 -0.024 -1.377
-1.553 7.827 -1.530
S Al Ce
1 1 2
direct
0.000 0.000 0.000 S
0.500 0.500 0.500 Al
0.740 0.740 0.781 Ce
0.260 0.260 0.219 Ce
```

Computed properties:
Symmetry ... R-3m
Raw total energy ... -5.902 eV per atom

---

VASP calculation (PBE) on crystalline CeAl2S6 at its relaxed geometry.

POSCAR file:
```
CeAl2S6
1.0
8.089 0.008 0.008
2.414 7.082 0.660
2.414 0.889 7.057
Ce Al S
2 4 12
direct
0.250 0.214 0.786 Ce
0.750 0.786 0.214 Ce
0.230 0.733 0.734 Al
0.270 0.266 0.267 Al
0.770 0.267 0.266 Al
0.730 0.734 0.733 Al
0.545 0.688 0.580 S
0.955 0.420 0.312 S
0.455 0.312 0.420 S
0.045 0.580 0.688 S
0.841 0.953 0.444 S
0.659 0.556 0.047 S
0.159 0.047 0.556 S
0.341 0.444 0.953 S
0.096 0.861 0.019 S
0.404 0.981 0.139 S
0.904 0.139 0.981 S
0.596 0.019 0.861 S
```

Computed properties:
Symmetry ... C2/c
Raw total energy ... -5.211 eV per atom

---

VASP calculation (PBE) on crystalline CeAlS4 at its relaxed geometry.

POSCAR file:
```
CeAlS4
1.0
5.191 0.000 -0.004
0.000 7.123 0.000
0.003 0.000 6.421
Ce Al S
2 2 8
direct
0.000 0.000 0.000 Ce
0.500 0.500 0.000 Ce
0.500 0.000 0.500 Al
0.000 0.500 0.500 Al
0.000 0.641 0.177 S
0.500 0.141 0.823 S
0.250 0.250 0.327 S
0.250 0.750 0.673 S
0.000 0.359 0.823 S
0.500 0.859 0.177 S
0.750 0.750 0.673 S
0.750 0.250 0.327 S
```

Computed properties:
Symmetry ... Pmna
Raw total energy ... -5.505 eV per atom

---

VASP calculation (PBE) on crystalline SrCeAlS4 at its relaxed geometry.

POSCAR file:
```
SrCeAlS4
1.0
-4.061 -2.406 4.669
5.109 -3.213 2.789
2.962 7.101 2.756
Sr Ce Al S
2 2 2 8
direct
0.741 0.750 0.935 Sr
0.259 0.250 0.065 Sr
0.779 0.750 0.447 Ce
0.221 0.250 0.553 Ce
0.236 0.750 0.311 Al
0.764 0.250 0.689 Al
0.998 0.504 0.741 S
0.002 0.004 0.259 S
0.002 0.496 0.259 S
0.998 0.996 0.741 S
0.435 0.750 0.135 S
0.565 0.250 0.865 S
0.430 0.750 0.587 S
0.570 0.250 0.413 S
```

Computed properties:
Symmetry ... P2_1/m
Raw total energy ... -5.693 eV per atom

---

VASP calculation (PBE) on crystalline CeAlTl2S4 at its relaxed geometry.

POSCAR file:
```
CeAlTl2S4
1.0
-5.018 -0.988 6.453
0.601 -8.177 -0.758
7.031 5.111 0.383
Ce Al Tl S
2 2 4 8
direct
0.000 0.500 0.000 Ce
0.000 0.500 0.500 Ce
0.500 0.500 0.500 Al
0.000 0.000 0.000 Al
0.500 0.000 0.000 Tl
0.500 0.000 0.500 Tl
0.000 0.000 0.500 Tl
0.500 0.500 0.000 Tl
0.195 0.762 0.978 S
0.738 0.305 0.522 S
0.262 0.695 0.478 S
0.805 0.238 0.022 S
0.759 0.742 0.940 S
0.758 0.741 0.560 S
0.242 0.259 0.440 S
0.241 0.258 0.060 S
```

Computed properties:
Symmetry ... Imma
Raw total energy ... -4.827 eV per atom

---

VASP calculation (PBE) on crystalline Ce3AlTl4S8 at its relaxed geometry.

POSCAR file:
```
Ce3AlTl4S8
1.0
-1.258 1.893 7.811
-8.420 -2.520 -0.746
5.732 -5.416 -2.001
Ce Al Tl S
3 1 4 8
direct
0.500 0.500 0.000 Ce
0.500 0.500 0.500 Ce
0.000 0.500 0.500 Ce
0.000 0.500 0.000 Al
0.500 0.000 0.000 Tl
0.500 0.000 0.500 Tl
0.000 0.000 0.000 Tl
0.000 0.000 0.500 Tl
0.213 0.686 0.973 S
0.214 0.687 0.428 S
0.265 0.295 0.530 S
0.760 0.686 0.973 S
0.240 0.314 0.027 S
0.735 0.705 0.470 S
0.786 0.313 0.572 S
0.787 0.314 0.027 S
```

Computed properties:
Symmetry ... R-3m
Raw total energy ... -5.196 eV per atom

---

Computed D(E_F), in the same sequence as the records: 3.6; 5.5; 10.8; 11.5; 5.3; 12.3; 4.3; 11.4; 4.5; 42.1; 11.3; 23.7; 13.3; 9.0; 2.5; 6.2; 12.9; 11.1; 18.7 states/eV per cell.
Computed volume, in the same sequence as the records: 81; 77; 160; 344; 68; 373; 86; 333; 88; 516; 162; 515; 448; 102; 399; 237; 344; 393; 428 Å³/cell.